No. 1
A crystal of Sc2TiHgSe relaxed with PBEsol, computed with SCAN.

```
data_Sc2TiHgSe
_chemical_formula_sum 'Sc2 Ti1 Hg1 Se1'
_cell_length_a 4.8905
_cell_length_b 4.8905
_cell_length_c 5.1313
_cell_angle_alpha 90.00
_cell_angle_beta 90.00
_cell_angle_gamma 90.00
_space_group_name_H-M_alt 'P 4/m m m'
_space_group_IT_number 123
_space_group_name_Hall '-P 4 2'
loop_
_atom_site_label
_atom_site_fract_x
_atom_site_fract_y
_atom_site_fract_z
_atom_site_occupancy
Sc1 0.0000 0.5000 0.0000 1
Ti1 0.0000 0.0000 0.5000 1
Hg1 0.5000 0.5000 0.5000 1
Se1 0.5000 0.5000 0.0000 1
```

=====

No. 2
A crystal of Sc2SiHg relaxed with PBEsol, computed with SCAN.

```
data_Sc2SiHg
_chemical_formula_sum 'Sc2 Si1 Hg1'
_cell_length_a 3.0638
_cell_length_b 3.0638
_cell_length_c 7.9466
_cell_angle_alpha 90.00
_cell_angle_beta 90.00
_cell_angle_gamma 90.00
_space_group_name_H-M_alt 'P 4/m m m'
_space_group_IT_number 123
_space_group_name_Hall '-P 4 2'
loop_
_atom_site_label
_atom_site_fract_x
_atom_site_fract_y
_atom_site_fract_z
_atom_site_occupancy
Sc1 0.0000 0.0000 0.2280 1
Si1 0.5000 0.5000 0.0000 1
Hg1 0.5000 0.5000 0.5000 1
```

=====

No. 3
A crystal of ScSnHg2Te relaxed with PBEsol, computed with SCAN.

```
data_ScSnHg2Te
_chemical_formula_sum 'Sc1 Sn1 Hg2 Te1'
_cell_length_a 5.3071
_cell_length_b 5.3071
_cell_length_c 5.6584
_cell_angle_alpha 90.00
_cell_angle_beta 90.00
_cell_angle_gamma 90.00
_space_group_name_H-M_alt 'P 4/m m m'
_space_group_IT_number 123
_space_group_name_Hall '-P 4 2'
loop_
_atom_site_label
_atom_site_fract_x
_atom_site_fract_y
_atom_site_fract_z
_atom_site_occupancy
Sc1 0.0000 0.0000 0.0000 1
Sn1 0.0000 0.0000 0.5000 1
Hg1 0.0000 0.5000 0.0000 1
Te1 0.5000 0.5000 0.5000 1
```

=====

The following calculated volume values (in Å³ per atom) correspond, in order, to the records above: 24.5; 18.6; 31.9.
The following uncorrected formation energy values (in eV/atom) correspond, in order, to the records above: 0.060; -0.555; 0.310.